A geometry-optimized LaTa2TeN structure, computed with PBEsol.

Cell and atoms, written as CIF:
```
data_LaTa2TeN
_chemical_formula_sum 'La1 Ta2 Te1 N1'
_cell_length_a 5.0730
_cell_length_b 5.0730
_cell_length_c 5.8662
_cell_angle_alpha 90.00
_cell_angle_beta 90.00
_cell_angle_gamma 90.00
_symmetry_space_group_name_H-M 'P 4/m m m'
_symmetry_Int_Tables_number 123
_symmetry_space_group_name_Hall '-P 4 2'
loop_
_atom_site_label
_atom_site_fract_x
_atom_site_fract_y
_atom_site_fract_z
La1 0.0000 0.0000 0.0000
Ta1 0.0000 0.5000 0.0000
Te1 0.0000 0.0000 0.5000
N1 0.5000 0.5000 0.5000
```

## Properties
DFT total energy	-27.0	eV/cell
theoretical density	7066	kg/m3
formation energy from raw total energies	15.49	eV/f.u.
D(E_F)	6.7	states/eV/cell

=====

A geometry-optimized MoPtRh2 structure, computed with PBEsol.

Cell and atoms, written as CIF:
```
data_MoPtRh2
_chemical_formula_sum 'Mo1 Pt1 Rh2'
_cell_length_a 2.6971
_cell_length_b 3.8870
_cell_length_c 5.4088
_cell_angle_alpha 90.00
_cell_angle_beta 90.00
_cell_angle_gamma 90.00
_symmetry_space_group_name_H-M 'P m m 2'
_symmetry_Int_Tables_number 25
loop_
_symmetry_equiv_pos_as_xyz
'x,y,z'
'-x,-y,z'
'-x,y,z'
'x,-y,z'
loop_
_atom_site_label
_atom_site_fract_x
_atom_site_fract_y
_atom_site_fract_z
Mo1 0.0000 0.0000 0.0000
Pt1 0.5000 0.5000 0.2600
Rh1 0.0000 0.0000 0.5186
Rh2 0.5000 0.5000 0.7626
```

## Properties
DFT total energy	-35.8	eV/cell
theoretical density	14549	kg/m3
calculated formation energy	-0.20	eV per atom
offset from the most stable computed form	39	meV per atom
D(E_F)	4.9	states/eV/cell

=====

A geometry-optimized Zn2CuSe structure, computed with PBEsol.

Cell and atoms, written as CIF:
```
data_Zn2CuSe
_chemical_formula_sum 'Zn4 Cu2 Se2'
_cell_length_a 3.2850
_cell_length_b 3.6359
_cell_length_c 10.6956
_cell_angle_alpha 90.00
_cell_angle_beta 90.00
_cell_angle_gamma 90.00
_symmetry_space_group_name_H-M 'I m m 2'
_symmetry_Int_Tables_number 44
loop_
_symmetry_equiv_pos_as_xyz
'x,y,z'
'-x,-y,z'
'-x,y,z'
'x,-y,z'
'x+1/2,y+1/2,z+1/2'
'-x+1/2,-y+1/2,z+1/2'
'-x+1/2,y+1/2,z+1/2'
'x+1/2,-y+1/2,z+1/2'
loop_
_atom_site_label
_atom_site_fract_x
_atom_site_fract_y
_atom_site_fract_z
Zn1 0.0000 0.0000 0.0000
Zn2 0.0000 0.5000 0.1815
Cu1 0.0000 0.5000 0.6986
Se1 0.0000 0.0000 0.3852
```

## Properties
DFT total energy	-22.4	eV/cell
theoretical density	7106	kg/m3
formation energy from raw total energies	0.17	eV/f.u.
D(E_F)	2.8	states/eV/cell

=====

A geometry-optimized CoIOF2 structure, computed with PBEsol.

Cell and atoms, written as CIF:
```
data_CoIOF2
_chemical_formula_sum 'Co1 I1 O1 F2'
_cell_length_a 4.7509
_cell_length_b 4.7509
_cell_length_c 3.9767
_cell_angle_alpha 90.00
_cell_angle_beta 90.00
_cell_angle_gamma 90.00
_symmetry_space_group_name_H-M 'P 4/m m m'
_symmetry_Int_Tables_number 123
_symmetry_space_group_name_Hall '-P 4 2'
loop_
_atom_site_label
_atom_site_fract_x
_atom_site_fract_y
_atom_site_fract_z
Co1 0.0000 0.0000 0.0000
I1 0.5000 0.5000 0.5000
O1 0.5000 0.5000 0.0000
F1 0.0000 0.5000 0.5000
```

## Properties
DFT total energy	-17.3	eV/cell
theoretical density	4437	kg/m3
formation energy from raw total energies	1.28	eV/f.u.
offset from the most stable computed form	935	meV per atom
D(E_F)	8.2	states/eV/cell

=====

A geometry-optimized InIrPb2 structure, computed with PBEsol.

Cell and atoms, written as CIF:
```
data_InIrPb2
_chemical_formula_sum 'In2 Ir2 Pb4'
_cell_length_a 3.1764
_cell_length_b 4.5109
_cell_length_c 13.3683
_cell_angle_alpha 90.00
_cell_angle_beta 90.00
_cell_angle_gamma 90.00
_symmetry_space_group_name_H-M 'I m m m'
_symmetry_Int_Tables_number 71
_symmetry_space_group_name_Hall '-I 2 2'
loop_
_atom_site_label
_atom_site_fract_x
_atom_site_fract_y
_atom_site_fract_z
In1 0.0000 0.0000 0.0000
Ir1 0.0000 0.0000 0.5000
Pb1 0.0000 0.5000 0.1817
```

## Properties
DFT total energy	-40.9	eV/cell
theoretical density	12509	kg/m3
calculated formation energy	0.09	eV per atom
D(E_F)	3.4	states/eV/cell

=====

A geometry-optimized La2Ta structure, computed with PBEsol.

Cell and atoms, written as CIF:
```
data_La2Ta
_chemical_formula_sum 'La8 Ta4'
_cell_length_a 15.9068
_cell_length_b 3.2118
_cell_length_c 6.7289
_cell_angle_alpha 90.00
_cell_angle_beta 103.58
_cell_angle_gamma 90.00
_symmetry_space_group_name_H-M 'C 1 2/m 1'
_symmetry_Int_Tables_number 12
loop_
_symmetry_equiv_pos_as_xyz
'x,y,z'
'-x,-y,-z'
'-x,y,-z'
'x,-y,z'
'x+1/2,y+1/2,z'
'-x+1/2,-y+1/2,-z'
'-x+1/2,y+1/2,-z'
'x+1/2,-y+1/2,z'
loop_
_atom_site_label
_atom_site_fract_x
_atom_site_fract_y
_atom_site_fract_z
La1 0.1284 0.0000 0.0654
La2 0.1616 0.0000 0.6061
Ta1 0.0037 0.5000 0.3043
```

## Properties
DFT total energy	-88.4	eV/cell
theoretical density	9119	kg/m3
calculated formation energy	0.38	eV per atom
offset from the most stable computed form	0	meV per atom
D(E_F)	16.6	states/eV/cell

=====

A geometry-optimized VOF2 structure, computed with PBEsol.

Cell and atoms, written as CIF:
```
data_VOF2
_chemical_formula_sum 'V4 O4 F8'
_cell_length_a 8.7364
_cell_length_b 5.2782
_cell_length_c 5.3380
_cell_angle_alpha 90.00
_cell_angle_beta 126.07
_cell_angle_gamma 90.00
_symmetry_space_group_name_H-M 'C 1 2/c 1'
_symmetry_Int_Tables_number 15
loop_
_symmetry_equiv_pos_as_xyz
'x,y,z'
'-x,-y,-z'
'-x,y,-z+1/2'
'x,-y,z+1/2'
'x+1/2,y+1/2,z'
'-x+1/2,-y+1/2,-z'
'-x+1/2,y+1/2,-z+1/2'
'x+1/2,-y+1/2,z+1/2'
loop_
_atom_site_label
_atom_site_fract_x
_atom_site_fract_y
_atom_site_fract_z
V1 0.2500 0.2500 0.0000
O1 0.0000 0.2006 0.7500
F1 0.2177 0.4534 0.2644
```

## Properties
DFT total energy	-117.2	eV/cell
theoretical density	3503	kg/m3
formation energy from raw total energies	-10.57	eV/f.u.
D(E_F)	8.1	states/eV/cell

=====

A geometry-optimized Sc3Pt structure, computed with PBEsol.

Cell and atoms, written as CIF:
```
data_Sc3Pt
_chemical_formula_sum 'Sc3 Pt1'
_cell_length_a 3.4419
_cell_length_b 3.4419
_cell_length_c 8.6334
_cell_angle_alpha 90.00
_cell_angle_beta 90.00
_cell_angle_gamma 120.00
_symmetry_space_group_name_H-M 'P -6 m 2'
_symmetry_Int_Tables_number 187
_symmetry_space_group_name_Hall 'P -6 2'
loop_
_atom_site_label
_atom_site_fract_x
_atom_site_fract_y
_atom_site_fract_z
Sc1 0.0000 0.0000 0.0000
Sc2 0.6667 0.3333 0.2961
Pt1 0.0000 0.0000 0.5000
```

## Properties
DFT total energy	-28.5	eV/cell
theoretical density	6186	kg/m3
calculated formation energy	-0.44	eV per atom
D(E_F)	5.7	states/eV/cell

=====

A geometry-optimized Sb2Au structure, computed with PBEsol.

Cell and atoms, written as CIF:
```
data_Sb2Au
_chemical_formula_sum 'Sb4 Au2'
_cell_length_a 4.0907
_cell_length_b 12.0335
_cell_length_c 3.0432
_cell_angle_alpha 90.00
_cell_angle_beta 90.00
_cell_angle_gamma 90.00
_symmetry_space_group_name_H-M 'C m m m'
_symmetry_Int_Tables_number 65
_symmetry_space_group_name_Hall '-C 2 2'
loop_
_atom_site_label
_atom_site_fract_x
_atom_site_fract_y
_atom_site_fract_z
Sb1 0.0000 0.1507 0.0000
Au1 0.0000 0.5000 0.0000
```

## Properties
DFT total energy	-26.2	eV/cell
theoretical density	9765	kg/m3
formation energy from raw total energies	-0.08	eV/f.u.
D(E_F)	2.7	states/eV/cell

=====

A geometry-optimized BaVN2 structure, computed with PBEsol.

Cell and atoms, written as CIF:
```
data_BaVN2
_chemical_formula_sum 'Ba8 V8 N16'
_cell_length_a 5.7182
_cell_length_b 11.8265
_cell_length_c 7.6750
_cell_angle_alpha 90.00
_cell_angle_beta 90.00
_cell_angle_gamma 90.00
_symmetry_space_group_name_H-M 'C m c e'
_symmetry_Int_Tables_number 64
_symmetry_space_group_name_Hall '-C 2ac 2'
loop_
_atom_site_label
_atom_site_fract_x
_atom_site_fract_y
_atom_site_fract_z
Ba1 0.0000 0.1690 0.0698
V1 0.0000 0.0558 0.6426
N1 0.0000 0.1027 0.4120
N2 0.2500 0.1196 0.7500
```

## Properties
DFT total energy	-268.3	eV/cell
theoretical density	5536	kg/m3
formation energy from raw total energies	-4.70	eV/f.u.
D(E_F)	2.3	states/eV/cell

=====

A geometry-optimized Na2GeS3 structure, computed with PBEsol.

Cell and atoms, written as CIF:
```
data_Na2GeS3
_chemical_formula_sum 'Na8 Ge4 S12'
_cell_length_a 6.7849
_cell_length_b 15.3502
_cell_length_c 5.7410
_cell_angle_alpha 90.00
_cell_angle_beta 113.16
_cell_angle_gamma 90.00
_symmetry_space_group_name_H-M 'P 1 21/c 1'
_symmetry_Int_Tables_number 14
loop_
_symmetry_equiv_pos_as_xyz
'x,y,z'
'-x,-y,-z'
'-x,y+1/2,-z+1/2'
'x,-y+1/2,z+1/2'
loop_
_atom_site_label
_atom_site_fract_x
_atom_site_fract_y
_atom_site_fract_z
Na1 0.0495 0.1680 0.0174
Na2 0.2784 0.5291 0.1647
Ge1 0.4531 0.1706 0.6471
S1 0.1133 0.1447 0.5489
S2 0.3229 0.5657 0.6736
S3 0.4723 0.6924 0.2019
```

## Properties
DFT total energy	-103.9	eV/cell
theoretical density	2596	kg/m3
formation energy from raw total energies	-5.09	eV/f.u.
D(E_F)	0.0	states/eV/cell

=====

A geometry-optimized NaSr4Sb3O12 structure, computed with PBEsol.

Cell and atoms, written as CIF:
```
data_NaSr4Sb3O12
_chemical_formula_sum 'Na2 Sr8 Sb6 O24'
_cell_length_a 8.1259
_cell_length_b 8.1021
_cell_length_c 11.4283
_cell_angle_alpha 90.00
_cell_angle_beta 134.66
_cell_angle_gamma 90.00
_symmetry_space_group_name_H-M 'P 1 21/c 1'
_symmetry_Int_Tables_number 14
loop_
_symmetry_equiv_pos_as_xyz
'x,y,z'
'-x,-y,-z'
'-x,y+1/2,-z+1/2'
'x,-y+1/2,z+1/2'
loop_
_atom_site_label
_atom_site_fract_x
_atom_site_fract_y
_atom_site_fract_z
Na1 0.0000 0.0000 0.0000
Sr1 0.0320 0.2450 0.2633
Sr2 0.4560 0.7454 0.7222
Sb1 0.0000 0.0000 0.5000
Sb2 0.5000 0.0000 0.0000
Sb3 0.5000 0.0000 0.5000
O1 0.0183 0.7295 0.0436
O2 0.2108 0.5384 0.9606
O3 0.2368 0.5393 0.4649
O4 0.2865 0.0409 0.7494
O5 0.3064 0.0367 0.2709
O6 0.4815 0.2498 0.0296
```

## Properties
DFT total energy	-258.7	eV/cell
theoretical density	5776	kg/m3
formation energy from raw total energies	-43.94	eV/f.u.
D(E_F)	0.0	states/eV/cell

=====

Which value of D(E_F) does entry 8 give? 5.7 states/eV/cell